(1)
This record from the Alexandria database describes a relaxed structure of AgBrCl. The functional is PBE-GGA.

Lattice parameters (Å, degrees): 4.3259 6.0393 9.2661 117.59 58.47 98.61
With the nearest neighbours (Å) after each atom.
Atoms (fractional coordinates):
Cl (0.0014, 0.8686, 0.0125)  3 Ag 2.54-2.69, 1 Br 2.85
Cl (0.6723, 0.1857, 0.7188)  3 Ag 2.53-2.67
Br (0.2060, 0.4249, 0.4430)  1 Br 2.42
Br (0.5804, 0.6232, 0.2421)  1 Br 2.42
Ag (0.9673, 0.1711, 0.8895)  3 Cl 2.53-2.62
Ag (0.6644, 0.6752, 0.8127)  3 Cl 2.54-2.69, 1 Br 2.72

Calculated values
Formation energy without anion corrections = -260 meV per atom
ΔE to the lowest computed polymorph = 0.0191 eV/atom
E_tot = -14.30 eV per cell

***

(2)
This record from the Alexandria database describes a relaxed structure of NaH3O2. The functional is PBE-GGA.

Lattice parameters (Å, degrees): 6.1203 6.2794 11.5775 90.00 90.00 90.00
With the nearest neighbours (Å) after each atom.
Atoms (fractional coordinates):
O (0.3986, 0.4361, 0.3636)  2 H 1.02
O (0.0231, 0.6564, 0.6213)  1 H 0.99
O (0.3986, 0.0639, 0.8636)  2 H 1.02
O (0.4769, 0.1564, 0.6213)  1 H 0.99
O (0.9769, 0.1564, 0.8787)  1 H 0.99
O (0.6014, 0.9361, 0.1364)  2 H 1.02
O (0.9769, 0.3436, 0.3787)  1 H 0.99
O (0.6014, 0.5639, 0.6364)  2 H 1.02
O (0.8986, 0.4361, 0.1364)  2 H 1.02
O (0.5231, 0.6564, 0.8787)  1 H 0.99
O (0.1014, 0.9361, 0.3636)  2 H 1.02
O (0.8986, 0.0639, 0.6364)  2 H 1.02
O (0.1014, 0.5639, 0.8636)  2 H 1.02
O (0.4769, 0.3436, 0.1213)  1 H 0.99
O (0.0231, 0.8436, 0.1213)  1 H 0.99
O (0.5231, 0.8436, 0.3787)  1 H 0.99
H (0.0646, 0.0940, 0.3666)  1 O 1.02
H (0.0542, 0.8694, 0.2038)  1 O 0.99
H (0.9458, 0.1306, 0.7962)  1 O 0.99
H (0.2334, 0.0833, 0.8643)  1 O 1.02
H (0.0646, 0.4060, 0.8666)  1 O 1.02
H (0.0542, 0.6306, 0.7038)  1 O 0.99
H (0.9354, 0.5940, 0.1334)  1 O 1.02
H (0.2334, 0.4167, 0.3643)  1 O 1.02
H (0.4354, 0.9060, 0.8666)  1 O 1.02
H (0.5542, 0.6306, 0.7962)  1 O 0.99
H (0.4458, 0.3694, 0.2038)  1 O 0.99
H (0.2666, 0.9167, 0.3643)  1 O 1.02
H (0.9354, 0.9060, 0.6334)  1 O 1.02
H (0.5646, 0.4060, 0.6334)  1 O 1.02
H (0.4458, 0.1306, 0.7038)  1 O 0.99
H (0.7666, 0.9167, 0.1357)  1 O 1.02
H (0.5542, 0.8694, 0.2962)  1 O 0.99
H (0.7334, 0.4167, 0.1357)  1 O 1.02
H (0.4354, 0.5940, 0.3666)  1 O 1.02
H (0.7666, 0.5833, 0.6357)  1 O 1.02
H (0.7334, 0.0833, 0.6357)  1 O 1.02
H (0.5646, 0.0940, 0.1334)  1 O 1.02
H (0.9458, 0.3694, 0.2962)  1 O 0.99
H (0.2666, 0.5833, 0.8643)  1 O 1.02
Na (0.3586, 0.8132, 0.5640)  4 O 2.32-2.38, 1 H 2.47
Na (0.6414, 0.1868, 0.4360)  4 O 2.32-2.38, 1 H 2.47
Na (0.6414, 0.3132, 0.9360)  4 O 2.32-2.38, 1 H 2.47
Na (0.8586, 0.6868, 0.4360)  4 O 2.32-2.38, 1 H 2.47
Na (0.1414, 0.1868, 0.0640)  4 O 2.32-2.38, 1 H 2.47
Na (0.8586, 0.8132, 0.9360)  4 O 2.32-2.38, 1 H 2.47
Na (0.3586, 0.6868, 0.0640)  4 O 2.32-2.38, 1 H 2.47
Na (0.1414, 0.3132, 0.5640)  4 O 2.32-2.38, 1 H 2.47

Calculated values
E_tot = -229.32 eV per cell

***

(3)
This record from the Alexandria database describes a relaxed structure of Ho2Al4InPt3. The functional is PBE-GGA.

Lattice parameters (Å, degrees): 4.2107 4.2107 10.8666 90.00 90.00 90.00
With the nearest neighbours (Å) after each atom.
Atoms (fractional coordinates):
Al (0.5000, 0.0000, 0.6487)  3 Pt 2.41-2.65, 2 In 2.65
Al (0.0000, 0.0000, 0.0000)  4 Pt 2.53
Al (0.5000, 0.5000, 0.0000)  4 Pt 2.53
Al (0.0000, 0.5000, 0.3513)  3 Pt 2.41-2.65, 2 In 2.65
Pt (0.0000, 0.5000, 0.1293)  5 Al 2.41-2.53
Pt (0.0000, 0.0000, 0.5000)  4 Al 2.65
Pt (0.5000, 0.0000, 0.8707)  5 Al 2.41-2.53
In (0.5000, 0.5000, 0.5000)  4 Al 2.65
Ho (0.0000, 0.5000, 0.7619)  6 Pt 3.20-3.54, 8 Al 3.22-3.34, 2 In 3.54
Ho (0.5000, 0.0000, 0.2381)  6 Pt 3.20-3.54, 8 Al 3.22-3.34, 2 In 3.54

Calculated values
E_tot = -54.18 eV per cell

***

(4)
This record from the Alexandria database describes a relaxed structure of Pm8Bi2Sb. The functional is PBE-GGA.

Lattice parameters (Å, degrees): 4.8535 7.8967 9.7707 91.80 104.38 90.00
With the nearest neighbours (Å) after each atom.
Atoms (fractional coordinates):
Bi (0.8279, 0.2206, 0.6558)  9 Pm 3.25-3.45
Bi (0.1721, 0.7794, 0.3442)  9 Pm 3.25-3.45
Pm (0.0062, 0.2521, 0.0125)  2 Sb 3.14, 1 Bi 3.38
Pm (0.6627, 0.0519, 0.3253)  1 Sb 3.09, 3 Bi 3.25-3.36
Pm (0.2174, 0.3647, 0.4347)  3 Bi 3.41-3.42, 7 Pm 3.44-3.60
Pm (0.4027, 0.4799, 0.8054)  2 Bi 3.45, 8 Pm 3.57-3.69
Pm (0.5973, 0.5201, 0.1946)  2 Bi 3.45, 8 Pm 3.57-3.69
Pm (0.9938, 0.7479, 0.9875)  2 Sb 3.14, 1 Bi 3.38
Pm (0.3373, 0.9481, 0.6747)  1 Sb 3.09, 3 Bi 3.25-3.36
Pm (0.7826, 0.6353, 0.5653)  3 Bi 3.41-3.42, 7 Pm 3.44-3.60
Sb (0.5000, 0.0000, 0.0000)  6 Pm 3.09-3.14

Calculated values
Formation energy without anion corrections = -467 meV per atom
E_tot = -55.02 eV per cell

***

(5)
This record from the Alexandria database describes a relaxed structure of Th6TeOs3C2. The functional is PBE-GGA.

Lattice parameters (Å, degrees): 4.1110 8.1257 8.7504 92.86 103.59 90.00
With the nearest neighbours (Å) after each atom.
Atoms (fractional coordinates):
Th (0.3320, 0.3911, 0.6640)  1 C 2.51
Th (0.9622, 0.7113, 0.9244)  1 C 2.53, 2 Os 2.77
Th (0.6936, 0.1317, 0.3871)  3 Os 2.76-2.99, 2 C 2.79
Th (0.3064, 0.8683, 0.6129)  3 Os 2.76-2.99, 2 C 2.79
Th (0.0378, 0.2887, 0.0756)  1 C 2.53, 2 Os 2.77
Th (0.6680, 0.6089, 0.3360)  1 C 2.51
Os (0.5000, 0.5000, 0.0000)  6 Th 2.77-2.95
Os (0.1443, 0.8799, 0.2886)  5 Th 2.76-3.05
Os (0.8557, 0.1201, 0.7114)  5 Th 2.76-3.05
Te (0.5000, 0.0000, 0.0000)  6 Th 3.16-3.41, 4 Os 3.38
C (0.8158, 0.6381, 0.6316)  4 Th 2.51-2.79
C (0.1842, 0.3619, 0.3684)  4 Th 2.51-2.79

Calculated values
Formation energy without anion corrections = -238 meV per atom
E_tot = -102.65 eV per cell

***

(6)
This record from the Alexandria database describes a relaxed structure of ZrTc3. The functional is PBE-GGA.

Lattice parameters (Å, degrees): 5.2856 5.2856 5.2856 145.16 129.16 63.12
With the nearest neighbours (Å) after each atom.
Atoms (fractional coordinates):
Tc (0.7542, 0.7542, 0.0000)  6 Tc 2.72-2.77, 2 Zr 2.78
Tc (0.0000, 0.5000, 0.5000)  4 Tc 2.72, 4 Zr 2.77
Tc (0.2458, 0.2458, 0.0000)  6 Tc 2.72-2.77, 2 Zr 2.78
Zr (0.5000, 0.0000, 0.5000)  8 Tc 2.77-2.78

Calculated values
E_tot = -39.86 eV per cell